Compound: CrPtN
Source: Alexandria via LeMat-Bulk
Functional: PBE
Structure: optimized geometry

Values from the calculation:
The value obtained for the volume is 73.31 Å³ per cell. The total energy comes out at -8.10 eV/atom. As for the density of states at the Fermi level: 1.82 states/eV/f.u.

a b c (Å): 3.168 4.133 5.600
angles (deg): 90.00 90.00 90.00
Site moments in Bohr magnetons follow the coordinates.
Fractional positions:
Pt: 0.500 0.500 0.955  -0.08
Pt: 0.000 0.000 0.045  -0.08
Cr: 0.500 0.000 0.633  2.16
Cr: 0.000 0.500 0.367  2.16
N: 0.000 0.000 0.443  -0.17
N: 0.500 0.500 0.557  -0.17